## NaMoO2 (PBE with a Hubbard U)

Data for a geometry-optimized NaMoO2 structure.

```
NaMoO2
1.0
0.000 2.721 2.721
2.721 0.000 2.721
2.721 2.721 0.000
Na Mo O
1 1 2
Direct
0.000 0.000 0.000 Na
0.500 0.500 0.500 Mo
0.250 0.250 0.250 O
0.750 0.750 0.750 O
```

Output
energy above the lowest structure with this stoichiometry: 3.58 eV/f.u.
ρ: 6.219 g cm⁻³
magnetic moment: 1.00 μB per cell